# 1
This record from the Alexandria database describes Cr2ReW after structural relaxation. The functional is GGA-PBE.

DFT formation energy   0.90 eV per atom
Spin magnetization   0.0 μB per formula unit
Symmetry   I-42d

Geometry as POSCAR:
```
Cr2ReW
1.0
6.787 0.000 0.000
0.000 6.787 0.000
0.000 0.000 5.156
Cr Re W
8 4 4
direct
0.242 0.250 0.125 Cr
0.250 0.742 0.375 Cr
0.250 0.758 0.875 Cr
0.258 0.250 0.625 Cr
0.742 0.750 0.625 Cr
0.750 0.242 0.875 Cr
0.750 0.258 0.375 Cr
0.758 0.750 0.125 Cr
0.000 0.000 0.000 Re
0.000 0.500 0.250 Re
0.500 0.000 0.750 Re
0.500 0.500 0.500 Re
0.000 0.000 0.500 W
0.000 0.500 0.750 W
0.500 0.000 0.250 W
0.500 0.500 0.000 W
```

***

# 2
This record from the Alexandria database describes TaGa3Co after structural relaxation. The functional is GGA-PBE.

DFT formation energy   0.52 eV per atom
Energy above the most stable polymorph in this dataset   0 meV per atom
Spin magnetization   0.0 μB per formula unit
Symmetry   Pm-3m

Geometry as POSCAR:
```
TaGa3Co
1.0
4.418 0.000 0.000
0.000 4.418 0.000
0.000 0.000 4.418
Ta Ga Co
1 3 1
direct
0.000 0.000 0.000 Ta
0.000 0.500 0.500 Ga
0.500 0.000 0.500 Ga
0.500 0.500 0.000 Ga
0.500 0.500 0.500 Co
```